## K2Li2VF6 (GGA+U)

Data for a geometry-optimized K2Li2VF6 structure.

Cell and atoms, written as POSCAR:
```
K2Li2VF6
1.0
2.9653 1.7120 5.5466
-2.9653 1.7120 5.5466
0.0000 -3.4241 5.5466
K Li V F
2 2 1 6
Cartesian
0.0000 0.0000 3.5552
0.0000 0.0000 13.0847
0.0000 0.0000 6.9009
0.0000 0.0000 9.7389
0.0000 0.0000 0.0000
-1.5388 -0.8884 9.7540
0.0000 -1.7768 6.8858
-1.5388 0.8884 6.8858
1.5388 -0.8884 9.7540
0.0000 1.7768 9.7540
1.5388 0.8884 6.8858
```

Values from the calculation:
Total magnetization (μB/f.u.): 3.0
N(E_F) (states/eV/cell): 0.0
Crystal system: trigonal
Energy (eV per cell): -55.08